Here is Ac2Sn3Pd4Pt after structural relaxation from the Alexandria database. Energies are from PBE.

For the total energy, the calculation gives -5.47 eV/atom.

It has space group P-4m2 (No. 115), with a = 4.5871 Å, b = 4.5871 Å, c = 11.0517 Å, α = 90.00°, β = 90.00° and γ = 90.00°. The asymmetric unit holds Ac at (0.0000, 0.5000, 0.2369), Sn at (0.0000, 0.0000, 0.0000), Sn at (0.0000, 0.5000, 0.6231), Pd at (0.0000, 0.0000, 0.5000), Pd at (0.0000, 0.5000, 0.8617), Pd at (0.5000, 0.5000, 0.5000) and Pt at (0.5000, 0.5000, 0.0000).

---

Here is SrAcPdPt after structural relaxation from the Alexandria database. Energies are from PBE.

For the total energy, the calculation gives -5.14 eV/atom.

It has space group Amm2 (No. 38), with a = 4.5720 Å, b = 4.1847 Å, c = 11.5818 Å, α = 90.00°, β = 90.00° and γ = 90.00°. The asymmetric unit holds Sr at (0.0000, 0.0000, 0.0000), Ac at (0.5000, 0.0000, 0.2739), Pd at (0.5000, 0.0000, 0.5616) and Pt at (0.0000, 0.0000, 0.7238).

---

Here is SrAcPdPt after structural relaxation from the Alexandria database. Energies are from PBE.

For the total energy, the calculation gives -5.06 eV/atom.

It has space group F-43m (No. 216), with a = 7.4853 Å, b = 7.4853 Å, c = 7.4853 Å, α = 90.00°, β = 90.00° and γ = 90.00°. The asymmetric unit holds Sr at (0.0000, 0.0000, 0.0000), Ac at (0.0000, 0.0000, 0.5000), Pd at (0.2500, 0.2500, 0.2500) and Pt at (0.2500, 0.2500, 0.7500).

---

Here is Sr2Ac2PdPt2 after structural relaxation from the Alexandria database. Energies are from PBE.

For the total energy, the calculation gives -4.92 eV/atom.

It has space group P-1 (No. 2), with a = 4.1091 Å, b = 7.8819 Å, c = 8.1935 Å, α = 114.61°, β = 90.04° and γ = 104.96°. The asymmetric unit holds Sr at (0.2204, 0.4397, 0.2775), Ac at (0.4754, 0.9494, 0.2537), Pd at (0.0000, 0.0000, 0.0000) and Pt at (0.1078, 0.2154, 0.5427).

---

Here is AcTbPdPt after structural relaxation from the Alexandria database. Energies are from PBE.

For the total energy, the calculation gives -5.88 eV/atom.

It has space group F-43m (No. 216), with a = 7.3263 Å, b = 7.3263 Å, c = 7.3263 Å, α = 90.00°, β = 90.00° and γ = 90.00°. The asymmetric unit holds Ac at (0.0000, 0.0000, 0.0000), Tb at (0.0000, 0.0000, 0.5000), Pd at (0.2500, 0.2500, 0.7500) and Pt at (0.2500, 0.2500, 0.2500).

---

Here is AcTbPdPt after structural relaxation from the Alexandria database. Energies are from PBE.

For the total energy, the calculation gives -6.00 eV/atom.

It has space group Amm2 (No. 38), with a = 4.6023 Å, b = 3.9532 Å, c = 11.1398 Å, α = 90.00°, β = 90.00° and γ = 90.00°. The asymmetric unit holds Ac at (0.0000, 0.0000, 0.0000), Tb at (0.5000, 0.0000, 0.2712), Pd at (0.5000, 0.0000, 0.5552) and Pt at (0.0000, 0.0000, 0.7285).

---

Here is Ac6Te3PdPt2 after structural relaxation from the Alexandria database. Energies are from PBE.

The uncorrected formation energy comes out at -1.285 eV per atom.

It has space group C2/m (No. 12), with a = 7.7173 Å, b = 13.3625 Å, c = 8.4937 Å, α = 90.00°, β = 107.59° and γ = 90.00°. The asymmetric unit holds Ac at (0.2341, 0.0000, 0.2136), Ac at (0.2400, 0.3314, 0.2141), Te at (0.0000, 0.0000, 0.5000), Te at (0.0000, 0.3343, 0.5000), Pd at (0.0000, 0.5000, 0.0000) and Pt at (0.0000, 0.1668, 0.0000).

---

Here is Ac4Te2PdPt after structural relaxation from the Alexandria database. Energies are from PBE.

The uncorrected formation energy comes out at -1.250 eV per atom.

It has space group P2/m (No. 10), with a = 7.7290 Å, b = 4.4461 Å, c = 8.5039 Å, α = 90.00°, β = 107.50° and γ = 90.00°. The asymmetric unit holds Ac at (0.2347, 0.0000, 0.2136), Ac at (0.2592, 0.5000, 0.7846), Te at (0.0000, 0.0000, 0.5000), Te at (0.5000, 0.5000, 0.5000), Pd at (0.5000, 0.0000, 0.0000) and Pt at (0.0000, 0.5000, 0.0000).

---

Here is Ac6Te3Pd2Pt after structural relaxation from the Alexandria database. Energies are from PBE.

The uncorrected formation energy comes out at -1.210 eV per atom.

It has space group C2/m (No. 12), with a = 7.7237 Å, b = 13.3741 Å, c = 8.5098 Å, α = 90.00°, β = 107.58° and γ = 90.00°. The asymmetric unit holds Ac at (0.2363, 0.1647, 0.2148), Ac at (0.2425, 0.5000, 0.2155), Te at (0.0000, 0.1677, 0.5000), Te at (0.0000, 0.5000, 0.5000), Pd at (0.0000, 0.3335, 0.0000) and Pt at (0.0000, 0.0000, 0.0000).

---

Here is AcThPdPt after structural relaxation from the Alexandria database. Energies are from PBE.

For the total energy, the calculation gives -6.47 eV/atom.

It has space group F-43m (No. 216), with a = 7.4117 Å, b = 7.4117 Å, c = 7.4117 Å, α = 90.00°, β = 90.00° and γ = 90.00°. The asymmetric unit holds Ac at (0.0000, 0.0000, 0.0000), Th at (0.0000, 0.0000, 0.5000), Pd at (0.2500, 0.2500, 0.7500) and Pt at (0.2500, 0.2500, 0.2500).

---

Here is AcTlPdPt after structural relaxation from the Alexandria database. Energies are from PBE.

For the total energy, the calculation gives -5.01 eV/atom.

It has space group F-43m (No. 216), with a = 7.2413 Å, b = 7.2413 Å, c = 7.2413 Å, α = 90.00°, β = 90.00° and γ = 90.00°. The asymmetric unit holds Ac at (0.0000, 0.0000, 0.0000), Tl at (0.0000, 0.0000, 0.5000), Pd at (0.2500, 0.2500, 0.2500) and Pt at (0.2500, 0.2500, 0.7500).

---

Here is Ac3Tl2Pd4Pt2 after structural relaxation from the Alexandria database. Energies are from PBE.

For the total energy, the calculation gives -5.21 eV/atom.

It has space group P-3m1 (No. 164), with a = 4.6307 Å, b = 4.6307 Å, c = 15.1677 Å, α = 90.00°, β = 90.00° and γ = 120.00°. The asymmetric unit holds Ac at (0.0000, 0.0000, 0.0000), Ac at (0.0000, 0.0000, 0.2615), Tl at (0.3333, 0.6667, 0.5665), Pd at (0.3333, 0.6667, 0.3742), Pd at (0.3333, 0.6667, 0.8652) and Pt at (0.3333, 0.6667, 0.1364).

---

Here is Ac2UPd12Pt3 after structural relaxation from the Alexandria database. Energies are from PBE.

For the total energy, the calculation gives -5.50 eV/atom.

It has space group R-3m (No. 166, hexagonal axes), with a = 8.3717 Å, b = 8.3717 Å, c = 20.1997 Å, α = 90.00°, β = 90.00° and γ = 120.00°. The asymmetric unit holds Ac at (0.0000, 0.0000, 0.1145), U at (0.0000, 0.0000, 0.5000), Pd at (0.0048, 0.5024, 0.8722), Pd at (0.0074, 0.5037, 0.6273) and Pt at (0.0000, 0.5000, 0.0000).

---

Here is AcZn3PdPt after structural relaxation from the Alexandria database. Energies are from PBE.

For the total energy, the calculation gives -3.62 eV/atom.

It has space group Cmcm (No. 63), with a = 7.9395 Å, b = 11.3891 Å, c = 5.8423 Å, α = 90.00°, β = 90.00° and γ = 90.00°. The asymmetric unit holds Ac at (0.0000, 0.2098, 0.2500), Zn at (0.0000, 0.3110, 0.7500), Zn at (0.2387, 0.0000, 0.0000), Pd at (0.0000, 0.0877, 0.7500) and Pt at (0.0000, 0.4718, 0.2500).

---

Here is AcZn5PdPt2 after structural relaxation from the Alexandria database. Energies are from PBE.

For the total energy, the calculation gives -3.42 eV/atom.

It has space group P4/mmm (No. 123), with a = 4.8951 Å, b = 4.8951 Å, c = 7.5318 Å, α = 90.00°, β = 90.00° and γ = 90.00°. The asymmetric unit holds Ac at (0.0000, 0.0000, 0.0000), Zn at (0.0000, 0.5000, 0.3257), Zn at (0.5000, 0.5000, 0.0000), Pd at (0.0000, 0.0000, 0.5000) and Pt at (0.5000, 0.5000, 0.3157).

---

Here is Ac2ZnPdPt6 after structural relaxation from the Alexandria database. Energies are from PBE.

For the total energy, the calculation gives -5.74 eV/atom.

It has space group R-3m (No. 166, hexagonal axes), with a = 5.6054 Å, b = 5.6054 Å, c = 25.2521 Å, α = 90.00°, β = 90.00° and γ = 120.00°. The asymmetric unit holds Ac at (0.0000, 0.0000, 0.2037), Zn at (0.0000, 0.0000, 0.0000), Pd at (0.0000, 0.0000, 0.5000) and Pt at (0.0003, 0.5001, 0.2536).

---

Here is Ac2ZnPd2Pt5 after structural relaxation from the Alexandria database. Energies are from PBE.

For the total energy, the calculation gives -5.71 eV/atom.

It has space group P4/mbm (No. 127), with a = 9.7677 Å, b = 9.7677 Å, c = 4.1494 Å, α = 90.00°, β = 90.00° and γ = 90.00°. The asymmetric unit holds Ac at (0.1757, 0.3243, 0.0000), Zn at (0.0000, 0.0000, 0.0000), Pd at (0.1253, 0.6253, 0.0000), Pt at (0.0000, 0.5000, 0.5000) and Pt at (0.0534, 0.8023, 0.5000).

---

Here is Ac2Zn2PdPt5 after structural relaxation from the Alexandria database. Energies are from PBE.

For the total energy, the calculation gives -5.30 eV/atom.

It has space group P4/mbm (No. 127), with a = 9.8802 Å, b = 9.8802 Å, c = 3.9601 Å, α = 90.00°, β = 90.00° and γ = 90.00°. The asymmetric unit holds Ac at (0.1843, 0.3157, 0.0000), Zn at (0.1137, 0.6137, 0.0000), Pd at (0.0000, 0.0000, 0.0000), Pt at (0.0000, 0.5000, 0.5000) and Pt at (0.0583, 0.7922, 0.5000).

---

Here is Ac2Zn4Pd3Pt after structural relaxation from the Alexandria database. Energies are from PBE.

For the total energy, the calculation gives -4.17 eV/atom.

It has space group P-4m2 (No. 115), with a = 4.5587 Å, b = 4.5587 Å, c = 10.0156 Å, α = 90.00°, β = 90.00° and γ = 90.00°. The asymmetric unit holds Ac at (0.0000, 0.5000, 0.2393), Zn at (0.0000, 0.0000, 0.5000), Zn at (0.0000, 0.5000, 0.8782), Zn at (0.5000, 0.5000, 0.5000), Pd at (0.0000, 0.0000, 0.0000), Pd at (0.0000, 0.5000, 0.6239) and Pt at (0.5000, 0.5000, 0.0000).

---

Here is Ac2ZnPd5Pt2 after structural relaxation from the Alexandria database. Energies are from PBE.

For the total energy, the calculation gives -5.42 eV/atom.

It has space group P4/mbm (No. 127), with a = 9.8905 Å, b = 9.8905 Å, c = 4.1096 Å, α = 90.00°, β = 90.00° and γ = 90.00°. The asymmetric unit holds Ac at (0.1721, 0.3279, 0.0000), Zn at (0.0000, 0.0000, 0.0000), Pd at (0.0000, 0.5000, 0.5000), Pd at (0.0602, 0.8070, 0.5000) and Pt at (0.1270, 0.6270, 0.0000).